# 1
The following is a GGA-PBE calculation of an optimized crystal structure of Ca2ReOsPt, from the Alexandria database.

```
Ca2ReOsPt
1.0
5.2786 0.0000 0.0000
0.0000 5.2786 0.0000
0.0000 0.0000 4.7975
Ca Re Os Pt
2 1 1 1
direct
0.0000 0.5000 0.0000 Ca
0.5000 0.0000 0.0000 Ca
0.0000 0.0000 0.5000 Re
0.5000 0.5000 0.5000 Os
0.5000 0.5000 0.0000 Pt
```

## Properties
The formation enthalpy at 0 K comes out at 1.31 eV/atom. As for the symmetry: P4/mmm (123). The total energy is -5.43 eV/atom.

***

# 2
The following is a GGA-PBE calculation of an optimized crystal structure of CaReOs2Pt, from the Alexandria database.

```
CaReOs2Pt
1.0
4.8499 0.0000 0.0000
0.0000 4.8499 0.0000
0.0000 0.0000 4.7777
Ca Re Os Pt
1 1 2 1
direct
0.0000 0.0000 0.0000 Ca
0.5000 0.5000 0.0000 Re
0.0000 0.5000 0.5000 Os
0.5000 0.0000 0.5000 Os
0.5000 0.5000 0.5000 Pt
```

## Properties
The formation enthalpy at 0 K comes out at 1.90 eV/atom. As for the symmetry: P4/mmm (123). The total energy is -6.69 eV/atom.

***

# 3
The following is a GGA-PBE calculation of an optimized crystal structure of Ca2OsPtSe, from the Alexandria database.

```
Ca2OsPtSe
1.0
5.5647 0.0000 0.0000
0.0000 5.5647 0.0000
0.0000 0.0000 4.4748
Ca Os Pt Se
2 1 1 1
direct
0.0000 0.5000 0.0000 Ca
0.5000 0.0000 0.0000 Ca
0.0000 0.0000 0.0000 Os
0.5000 0.5000 0.5000 Pt
0.0000 0.0000 0.5000 Se
```

## Properties
As for the symmetry: P4/mmm (123). The total energy is -4.89 eV/atom.

***

# 4
The following is a GGA-PBE calculation of an optimized crystal structure of CaTa2OsPt, from the Alexandria database.

```
CaTa2OsPt
1.0
4.8811 0.0000 0.0000
0.0000 4.8811 0.0000
0.0000 0.0000 5.0261
Ca Ta Os Pt
1 2 1 1
direct
0.0000 0.0000 0.0000 Ca
0.0000 0.5000 0.5000 Ta
0.5000 0.0000 0.5000 Ta
0.5000 0.5000 0.0000 Os
0.5000 0.5000 0.5000 Pt
```

## Properties
The formation enthalpy at 0 K comes out at 1.24 eV/atom. As for the symmetry: P4/mmm (123). The total energy is -7.36 eV/atom.

***

# 5
The following is a GGA-PBE calculation of an optimized crystal structure of CaPu2Os, from the Alexandria database.

```
CaPu2Os
1.0
4.7892 0.0000 0.0000
-2.3946 4.1475 0.0000
0.0000 0.0000 14.3826
Ca Pu Os
3 6 3
direct
0.0000 0.0000 0.0000 Ca
0.3333 0.6667 0.6667 Ca
0.6667 0.3333 0.3333 Ca
0.0000 0.0000 0.2307 Pu
0.0000 0.0000 0.7693 Pu
0.3333 0.6667 0.4359 Pu
0.3333 0.6667 0.8974 Pu
0.6667 0.3333 0.1026 Pu
0.6667 0.3333 0.5641 Pu
0.0000 0.0000 0.5000 Os
0.3333 0.6667 0.1667 Os
0.6667 0.3333 0.8333 Os
```

## Properties
The formation enthalpy at 0 K comes out at 0.29 eV/atom. As for the symmetry: R-3m (166). The total energy is -10.19 eV/atom. As for the polymorph energy (0 for the lowest one): 0.205 eV per atom.

***

# 6
The following is a GGA-PBE calculation of an optimized crystal structure of CaPu2Os, from the Alexandria database.

```
CaPu2Os
1.0
3.3143 0.0000 0.0000
0.0000 3.3143 0.0000
0.0000 0.0000 9.5243
Ca Pu Os
1 2 1
direct
0.0000 0.0000 0.0000 Ca
0.5000 0.5000 0.3167 Pu
0.5000 0.5000 0.6833 Pu
0.0000 0.0000 0.5000 Os
```

## Properties
The formation enthalpy at 0 K comes out at 0.08 eV/atom. As for the symmetry: P4/mmm (123). The total energy is -10.39 eV/atom. As for the polymorph energy (0 for the lowest one): 0.000 eV per atom.

***

# 7
The following is a GGA-PBE calculation of an optimized crystal structure of RbCaOs3, from the Alexandria database.

```
RbCaOs3
1.0
5.1421 0.0000 0.0000
0.0000 5.1421 0.0000
0.0000 0.0000 5.1421
Rb Ca Os
1 1 3
direct
0.0000 0.0000 0.0000 Rb
0.5000 0.5000 0.5000 Ca
0.0000 0.5000 0.5000 Os
0.5000 0.0000 0.5000 Os
0.5000 0.5000 0.0000 Os
```

## Properties
The formation enthalpy at 0 K comes out at 3.05 eV/atom. As for the symmetry: Pm-3m (221). The total energy is -4.28 eV/atom. As for the polymorph energy (0 for the lowest one): 0.000 eV per atom.

***

# 8
The following is a GGA-PBE calculation of an optimized crystal structure of RbCaOs3, from the Alexandria database.

```
RbCaOs3
1.0
4.8534 0.0000 0.0000
0.0000 4.8534 0.0000
0.0000 0.0000 4.8534
Rb Ca Os
1 1 3
direct
0.0000 0.0000 0.0000 Rb
0.5000 0.5000 0.5000 Ca
0.0000 0.0000 0.5000 Os
0.0000 0.5000 0.0000 Os
0.5000 0.0000 0.0000 Os
```

## Properties
The formation enthalpy at 0 K comes out at 3.35 eV/atom. As for the symmetry: Pm-3m (221). The total energy is -3.98 eV/atom. As for the polymorph energy (0 for the lowest one): 0.303 eV per atom.